Record 1
Nd4InAu7 after structural relaxation, computed with GGA-PBE.

Computed properties:
* uncorrected energy: -52.3 eV/f.u.
* SG: C2/m, No. 12
* DOS(E_F): 0.671 states/eV/atom

Lattice parameters (Å, degrees): 7.865 7.865 9.298 120.23 120.23 38.39
Atoms (fractional coordinates):
Nd1 0.061 0.061 0.244
Nd2 0.232 0.232 0.755
Nd3 0.768 0.768 0.245
Nd4 0.939 0.939 0.756
In1 0.500 0.500 0.500
Au1 0.000 0.000 0.500
Au2 0.175 0.175 0.051
Au3 0.305 0.305 0.504
Au4 0.409 0.409 0.136
Au5 0.591 0.591 0.864
Au6 0.695 0.695 0.496
Au7 0.825 0.825 0.949



Record 2
NdInAu4 after structural relaxation, computed with GGA-PBE.

Computed properties:
* E above lowest polymorph: 0.034 eV per atom
* uncorrected energy: -23.1 eV/f.u.
* SG: P-1, No. 2
* DOS(E_F): 0.395 states/eV/atom

Lattice parameters (Å, degrees): 3.754 3.803 9.175 92.61 90.88 90.00
Atoms (fractional coordinates):
Nd1 0.000 0.000 0.000
In1 0.500 0.500 0.500
Au1 0.007 0.017 0.340
Au2 0.493 0.483 0.821
Au3 0.507 0.517 0.179
Au4 0.993 0.983 0.660